[1]
DFT (PBE) results for a geometry-optimized Ni3H5 structure.

a b c (Å): 6.350 6.350 4.699
angles (deg): 90.00 90.00 90.00
Space group I4/mcm (No. 140)
Inequivalent atoms, fractional coordinates:
Ni (0.000, 0.000, 0.250) (multiplicity 4)
Ni (0.147, 0.353, 0.000) (multiplicity 8)
H (0.000, 0.500, 0.250) (multiplicity 4)
H (0.080, 0.199, 0.500) (multiplicity 16)

Computed properties:
Volume (Å³ per atom): 5.920
E (eV per atom): -4.153
Theoretical density (g cm⁻³): 6.35


[2]
DFT (PBE) results for a geometry-optimized Ni5H8 structure.

a b c (Å): 7.793 4.940 5.552
angles (deg): 90.00 128.35 90.00
Space group C2/m (No. 12)
Inequivalent atoms, fractional coordinates:
Ni (0.000, 0.000, 0.000) (multiplicity 2)
Ni (0.000, 0.249, 0.500) (multiplicity 4)
Ni (0.163, 0.500, 0.998) (multiplicity 4)
H (0.020, 0.265, 0.211) (multiplicity 8)
H (0.178, 0.000, 0.625) (multiplicity 4)
H (0.197, 0.500, 0.717) (multiplicity 4)

Computed properties:
Volume (Å³ per atom): 6.446
E (eV per atom): -4.250
Theoretical density (g cm⁻³): 5.98


[3]
DFT (PBE) results for a geometry-optimized Ni3H2 structure.

a b c (Å): 13.413 2.580 6.529
angles (deg): 90.00 103.31 90.00
Space group C2/m (No. 12)
Inequivalent atoms, fractional coordinates:
Ni (0.000, 0.000, 0.000) (multiplicity 2)
Ni (0.074, 0.000, 0.667) (multiplicity 4)
Ni (0.092, 0.500, 0.337) (multiplicity 4)
Ni (0.170, 0.500, 0.999) (multiplicity 4)
Ni (0.240, 0.500, 0.672) (multiplicity 4)
H (0.039, 0.500, 0.824) (multiplicity 4)
H (0.133, 0.000, 0.157) (multiplicity 4)
H (0.168, 0.000, 0.515) (multiplicity 4)

Computed properties:
Volume (Å³ per atom): 7.330
E (eV per atom): -4.838
Theoretical density (g cm⁻³): 8.07


[4]
DFT (PBE) results for a geometry-optimized Ni3H structure.

a b c (Å): 4.9306 4.9306 3.6458
angles (deg): 90.00 90.00 120.00
Space group P6_3/mmc (No. 194)
Inequivalent atoms, fractional coordinates:
Ni (0.1743, 0.3487, 0.2500) (multiplicity 6)
H (0.3333, 0.6667, 0.7500) (multiplicity 2)

Computed properties:
Volume (Å³ per atom): 9.595
E (eV per atom): -4.684
Theoretical density (g cm⁻³): 7.66